Here is crystalline ReSnPCl2 at its relaxed geometry from Alexandria via LeMat-Bulk. Energies are from PBE-GGA.

Lattice parameters (Å, degrees): 4.901 4.901 5.217 90.00 90.00 90.00
Atoms (fractional coordinates):
Sn1 0.000 0.000 0.000
P1 0.000 0.000 0.500
Cl1 0.000 0.500 0.000
Cl2 0.500 0.000 0.000
Re1 0.500 0.500 0.500

total energy = -3.946 eV per atom
D(E_F) = 1.36 states/eV per cell
SG = P4/mmm, No. 123

---

Here is crystalline ReSn2PCl at its relaxed geometry from Alexandria via LeMat-Bulk. Energies are from PBE-GGA.

Lattice parameters (Å, degrees): 5.175 5.175 4.577 90.00 90.00 90.00
Atoms (fractional coordinates):
Sn1 0.500 0.000 0.000
Sn2 0.000 0.500 0.000
Cl1 0.000 0.000 0.000
P1 0.000 0.000 0.500
Re1 0.500 0.500 0.500

total energy = -4.003 eV per atom
D(E_F) = 2.80 states/eV per cell
SG = P4/mmm, No. 123

---

Here is crystalline SrRePCl2 at its relaxed geometry from Alexandria via LeMat-Bulk. Energies are from PBE-GGA.

Lattice parameters (Å, degrees): 5.382 5.382 6.209 90.00 90.00 90.00
Atoms (fractional coordinates):
Sr1 0.000 0.000 0.000
Cl1 0.000 0.500 0.000
Cl2 0.500 0.000 0.000
Re1 0.500 0.500 0.500
P1 0.000 0.000 0.500

total energy = -4.014 eV per atom
D(E_F) = 2.51 states/eV per cell
SG = P4/mmm, No. 123

---

| no. | uncorrected formation energy (eV per atom) |
| --- | --- |
| 1 | 1.165 |
| 2 | 1.539 |
| 3 | 0.632 |